Entry 1:
The following is a PBE calculation of a relaxed SrTcOs crystal, from Alexandria.

Lattice parameters (Å, degrees): 4.1125 4.1125 5.0768 90.00 90.00 120.00
Last column: nearest neighbours and their distance in Å.
Sites, in units of the cell vectors:
Sr: 0.0000 0.0000 0.0000  6 Os 3.35-3.60, 6 Tc 3.38-3.57
Tc: 0.3333 0.6667 0.5259  3 Os 2.39
Os: 0.6667 0.3333 0.4661  3 Tc 2.39

Its space-group type is P3m1. The calculation puts the formation enthalpy at 0 K at 0.44 eV per atom. The calculation puts the density of states at the Fermi level at 4.30 states/eV per cell. The spin magnetization is 0.00 μB/f.u.



Entry 2:
The following is a PBE calculation of a relaxed Zn2TcNi crystal, from Alexandria.

Lattice parameters (Å, degrees): 5.4145 5.4145 5.4145 102.67 102.67 124.15
Last column: nearest neighbours and their distance in Å.
Sites, in units of the cell vectors:
Zn: 0.1025 0.6250 0.9775  2 Ni 2.37, 2 Zn 2.55, 2 Tc 2.58
Zn: 0.3750 0.3525 0.4775  2 Ni 2.37, 2 Zn 2.55, 2 Tc 2.58
Zn: 0.6475 0.1250 0.0225  2 Ni 2.37, 2 Zn 2.55, 2 Tc 2.58
Zn: 0.8750 0.8975 0.5225  2 Ni 2.37, 2 Zn 2.55, 2 Tc 2.58
Tc: 0.2500 0.7500 0.5000  2 Ni 2.54, 4 Zn 2.58
Tc: 0.5000 0.5000 0.0000  2 Ni 2.54, 4 Zn 2.58
Ni: 0.0000 0.0000 0.0000  4 Zn 2.37, 2 Tc 2.54
Ni: 0.7500 0.2500 0.5000  4 Zn 2.37, 2 Tc 2.54

Its space-group type is I-42d. The calculation puts the formation enthalpy at 0 K at 0.44 eV per atom. The calculation puts the density of states at the Fermi level at 8.41 states/eV per cell. The spin magnetization is 1.47 μB/f.u.



Entry 3:
The following is a PBE calculation of a relaxed SmCdRh2 crystal, from Alexandria.

Lattice parameters (Å, degrees): 4.4952 4.4952 3.6925 90.00 90.00 90.00
Last column: nearest neighbours and their distance in Å.
Sites, in units of the cell vectors:
Sm: 0.0000 0.0000 0.0000  8 Rh 2.91, 4 Cd 3.18
Cd: 0.5000 0.5000 0.0000  8 Rh 2.91, 4 Sm 3.18
Rh: 0.0000 0.5000 0.5000  4 Cd 2.91, 4 Sm 2.91, 4 Rh 3.18
Rh: 0.5000 0.0000 0.5000  4 Cd 2.91, 4 Sm 2.91, 4 Rh 3.18

Its space-group type is P4/mmm. The calculation puts the formation enthalpy at 0 K at -0.53 eV per atom. The calculation puts the density of states at the Fermi level at 3.36 states/eV per cell. The spin magnetization is 0.00 μB/f.u.



Entry 4:
The following is a PBE calculation of a relaxed K2BeReIr crystal, from Alexandria.

Lattice parameters (Å, degrees): 5.9175 5.9175 4.1720 90.00 90.00 90.00
Last column: nearest neighbours and their distance in Å.
Sites, in units of the cell vectors:
K: 0.0000 0.5000 0.0000  2 Be 2.96
K: 0.5000 0.0000 0.0000  2 Be 2.96
Be: 0.0000 0.0000 0.0000  2 Ir 2.09
Re: 0.5000 0.5000 0.5000  8 K 3.62
Ir: 0.0000 0.0000 0.5000  2 Be 2.09

Its space-group type is P4/mmm. The calculation puts the formation enthalpy at 0 K at 1.77 eV per atom. The calculation puts the density of states at the Fermi level at 3.67 states/eV per cell. The spin magnetization is 4.74 μB/f.u.



Entry 5:
The following is a PBE calculation of a relaxed MnTlRh2 crystal, from Alexandria.

Lattice parameters (Å, degrees): 5.7302 5.7302 5.7302 103.79 103.79 121.55
Last column: nearest neighbours and their distance in Å.
Sites, in units of the cell vectors:
Mn: 0.0000 0.0000 0.0000  4 Rh 2.42
Mn: 0.7500 0.2500 0.5000  4 Rh 2.42
Tl: 0.2500 0.7500 0.5000  4 Rh 2.78, 2 Mn 2.80
Tl: 0.5000 0.5000 0.0000  4 Rh 2.78, 2 Mn 2.80
Rh: 0.0877 0.6250 0.9627  2 Mn 2.42
Rh: 0.3750 0.3377 0.4627  2 Mn 2.42
Rh: 0.6623 0.1250 0.0373  2 Mn 2.42
Rh: 0.8750 0.9123 0.5373  2 Mn 2.42

Its space-group type is I-42d. The calculation puts the formation enthalpy at 0 K at 0.38 eV per atom. The calculation puts the density of states at the Fermi level at 8.10 states/eV per cell. The spin magnetization is 3.84 μB/f.u.



Entry 6:
The following is a PBE calculation of a relaxed W3AuC crystal, from Alexandria.

Lattice parameters (Å, degrees): 4.8384 4.8384 4.8384 90.00 90.00 90.00
Last column: nearest neighbours and their distance in Å.
Sites, in units of the cell vectors:
W: 0.0000 0.0000 0.5000  2 Au 2.42
W: 0.0000 0.5000 0.0000  2 Au 2.42
W: 0.5000 0.0000 0.0000  2 Au 2.42
Au: 0.0000 0.0000 0.0000  6 W 2.42
C: 0.5000 0.5000 0.5000  12 W 3.42

Its space-group type is Pm-3m. The calculation puts the formation enthalpy at 0 K at 3.99 eV per atom. The calculation puts the density of states at the Fermi level at 4.13 states/eV per cell. The spin magnetization is 0.00 μB/f.u.



- spin magnetization of number 3 (SmCdRh2)?
  0.00 μB/f.u.



- Which of these has the highest spin magnetization?
  K2BeReIr